# 1
A relaxed Y3ErSn3 crystal, computed with PBE.

Cell and atoms, written as POSCAR:
```
Y3ErSn3
1.0
9.073 0.000 0.000
-4.536 7.857 0.000
0.000 0.000 5.467
Y Er Sn
6 2 6
direct
0.007 0.766 0.250 Y
0.234 0.241 0.250 Y
0.241 0.007 0.750 Y
0.759 0.993 0.250 Y
0.766 0.759 0.750 Y
0.993 0.234 0.750 Y
0.333 0.667 0.250 Er
0.667 0.333 0.750 Er
0.077 0.622 0.750 Sn
0.378 0.455 0.750 Sn
0.455 0.077 0.250 Sn
0.545 0.923 0.750 Sn
0.622 0.545 0.250 Sn
0.923 0.378 0.250 Sn
```

=====

# 2
A relaxed YErSn2 crystal, computed with PBE.

Cell and atoms, written as POSCAR:
```
YErSn2
1.0
4.300 0.000 0.000
0.000 2.234 5.691
0.000 -2.234 5.691
Y Er Sn
1 1 2
direct
0.000 0.000 0.000 Y
0.500 0.268 0.268 Er
0.000 0.728 0.728 Sn
0.500 0.539 0.539 Sn
```

=====

# 3
A relaxed YErSn2 crystal, computed with PBE.

Cell and atoms, written as POSCAR:
```
YErSn2
1.0
3.468 0.000 0.000
0.000 3.468 0.000
0.000 0.000 8.757
Y Er Sn
1 1 2
direct
0.000 0.000 0.000 Y
0.000 0.000 0.500 Er
0.500 0.500 0.252 Sn
0.500 0.500 0.748 Sn
```

=====

# 4
A relaxed YEr2Sn crystal, computed with PBE.

Cell and atoms, written as POSCAR:
```
YEr2Sn
1.0
1.748 1.009 11.858
-1.748 1.009 11.858
0.000 -2.018 11.858
Y Er Sn
1 2 1
direct
0.000 0.000 0.000 Y
0.413 0.413 0.413 Er
0.587 0.587 0.587 Er
0.500 0.500 0.500 Sn
```

=====

# 5
A relaxed YEr2Sn2 crystal, computed with PBE.

Cell and atoms, written as POSCAR:
```
YEr2Sn2
1.0
6.295 -1.983 0.000
6.295 1.983 0.000
-1.290 0.000 5.937
Y Er Sn
1 2 2
direct
0.000 0.000 0.000 Y
0.364 0.364 0.419 Er
0.636 0.636 0.581 Er
0.301 0.301 0.870 Sn
0.699 0.699 0.130 Sn
```

=====

# 6
A relaxed YErSn2 crystal, computed with PBE.

Cell and atoms, written as POSCAR:
```
YErSn2
1.0
4.900 0.000 0.000
0.000 4.900 0.000
0.000 0.000 4.381
Y Er Sn
1 1 2
direct
0.000 0.000 0.000 Y
0.500 0.500 0.000 Er
0.000 0.500 0.500 Sn
0.500 0.000 0.500 Sn
```

=====

# 7
A relaxed YEr2Sn crystal, computed with PBE.

Cell and atoms, written as POSCAR:
```
YEr2Sn
1.0
3.704 0.000 0.000
0.000 3.704 0.000
0.000 0.000 8.530
Y Er Sn
1 2 1
direct
0.000 0.000 0.000 Y
0.500 0.500 0.279 Er
0.500 0.500 0.721 Er
0.000 0.000 0.500 Sn
```

=====

# 8
A relaxed YEr2Sn crystal, computed with PBE.

Cell and atoms, written as POSCAR:
```
YEr2Sn
1.0
2.737 -6.302 0.000
2.737 6.302 0.000
0.000 0.000 6.755
Y Er Sn
2 4 2
direct
0.071 0.929 0.750 Y
0.929 0.071 0.250 Y
0.368 0.632 0.518 Er
0.368 0.632 0.982 Er
0.632 0.368 0.018 Er
0.632 0.368 0.482 Er
0.172 0.828 0.250 Sn
0.828 0.172 0.750 Sn
```

=====

| no. | density (g cm⁻³) | DFT formation energy (kJ/mol of atoms) |
| --- | --- | --- |
| 1 | 6.7 | -49.8 |
| 2 | 7.5 | -70.0 |
| 3 | 7.8 | -60.0 |
| 4 | 7.2 | 5.4 |
| 5 | 7.4 | -38.3 |
| 6 | 7.8 | -58.8 |
| 7 | 7.7 | -28.9 |
| 8 | 7.7 | -26.0 |